! BaGaCuP2 GGA-PBE relaxed; values from VASP
! ΔE_f: -569 meV/atom
! total energy: -4.542 eV/atom
&SYSTEM
  ibrav = 0, nat = 10, ntyp = 4
/
ATOMIC_SPECIES
Ba 137.33 Ba.upf
Ga 69.72 Ga.upf
Cu 63.55 Cu.upf
P 30.97 P.upf
ATOMIC_POSITIONS angstrom
Ba 1.722 0.000 1.647
Ba 9.296 0.000 7.387
Ga 5.071 0.000 2.914
Ga 5.947 0.000 6.120
Cu 1.289 0.000 5.141
Cu 9.729 0.000 3.894
P 0.351 0.000 7.400
P 3.784 0.000 5.088
P 7.234 0.000 3.946
P 10.667 0.000 1.634
CELL_PARAMETERS angstrom
6.197 -2.032 0.000
6.197 2.032 0.000
-1.376 0.000 9.034